(1)
Here is ErH2I3 after structural relaxation from Alexandria. Energies are from PBE.

```
12
Lattice="-4.1914 -2.0452 -6.1683 6.2009 -4.9661 -2.0212 -4.3200 -3.8593 4.7674" Properties=species:S:1:pos:R:3 pbc="T T T"
H -1.6864 -6.7012 0.0159
H -2.3353 -6.3649 0.1924
I -5.5475 -6.2013 -1.9070
H -0.6240 -4.1694 -3.4379
I -0.5256 -2.9776 0.0668
H 0.0249 -4.5057 -3.6144
I 2.2655 -7.2287 -5.1796
I -4.5759 -3.6419 1.7576
Er 0.0000 0.0000 0.0000
Er -2.1600 -1.9297 2.3837
I -1.7849 -7.8930 -3.4888
I 3.2371 -4.6694 -1.5150
```

Summary:
ρ	4.019	Mg/m³
E	-21.44	eV/f.u.
space group	No. 2


(2)
Here is KRbTaNb2 after structural relaxation from Alexandria. Energies are from PBE.

```
5
Lattice="5.0040 0.0000 0.0000 0.0000 6.7779 0.0000 0.0000 0.0000 5.0040" Properties=species:S:1:pos:R:3 pbc="T T T"
K 0.0000 3.3889 0.0000
Ta 0.0000 0.0000 0.0000
Rb 2.5020 3.3889 2.5020
Nb 2.5020 0.0000 0.0000
Nb 0.0000 0.0000 2.5020
```

Summary:
formation energy from the elements	1414	meV/atom
ρ	4.807	Mg/m³
space group	No. 123


(3)
Here is Na2Ge3Pd5 after structural relaxation from Alexandria. Energies are from PBE.

```
20
Lattice="-1.0332 -3.8296 -4.1954 7.3068 -3.1762 -2.8728 -0.8327 -7.7519 3.3084" Properties=species:S:1:pos:R:3 pbc="T T T"
Pd 3.9521 -12.1484 -3.7887
Ge 4.2137 -9.6987 -4.1028
Pd 0.9722 -4.5242 -2.0688
Ge 2.6943 -5.8587 -3.2611
Pd 4.8001 -5.2301 -4.3535
Na -0.2026 -7.3795 -1.1595
Pd 5.5831 -8.3737 -5.6495
Pd 0.6408 -9.5277 0.5937
Ge 2.7466 -8.8990 -0.4987
Pd 2.9787 -6.4215 -0.8311
Pd 1.4888 -2.6094 0.0289
Na 1.4597 -11.3546 -1.9131
Ge 1.2272 -5.0590 0.3430
Pd 2.4622 -8.3363 -2.9288
Na 5.6435 -7.3782 -2.6004
Ge -0.2583 -0.9574 -1.0488
Ge -0.7749 -2.8722 -3.1465
Pd -0.1422 -6.3840 1.8897
Na 3.9812 -3.4032 -1.8467
Pd 4.4687 -10.2336 -1.6910
```

Summary:
formation energy from the elements	-393	meV/atom
ρ	7.223	Mg/m³
energy above the most stable polymorph in this dataset	9	meV/atom
space group	No. 72


(4)
Here is Tb4Tm3Bi8 after structural relaxation from Alexandria. Energies are from PBE.

```
15
Lattice="8.8972 -0.1274 -0.1830 -4.3426 7.7522 0.1400 -4.3426 -2.5599 7.3187" Properties=species:S:1:pos:R:3 pbc="T T T"
Tm 0.1060 2.5325 3.6378
Bi -2.2071 1.3374 1.9212
Tb 4.4486 -0.0637 -0.0915
Bi -4.3426 5.1124 1.9777
Bi 2.3185 1.2735 1.8294
Bi 0.1060 5.0966 1.8528
Bi 2.4192 3.7275 5.3545
Tb -2.1713 3.8761 0.0700
Bi 0.1060 -0.0317 5.4229
Bi -4.3426 0.0800 5.4810
Tm 2.2773 -1.3436 3.5678
Bi -2.1064 3.7914 5.4463
Tb -2.1713 -1.2799 3.6594
Tm 2.2773 3.8124 -0.0215
Tb 0.0000 0.0000 0.0000
```

Summary:
formation energy from the elements	-659	meV/atom
ρ	9.426	Mg/m³
space group	No. 12


(5)
Here is La2TlCdTc after structural relaxation from Alexandria. Energies are from PBE.

```
5
Lattice="-1.0620 5.7993 -1.2893 -2.3919 -1.4055 -4.3519 -5.2413 -0.2980 2.9769" Properties=species:S:1:pos:R:3 pbc="T T T"
La -2.6206 -0.1490 1.4885
Cd -1.1959 -0.7028 -2.1760
La -0.5310 2.8997 -0.6446
Tc -4.3476 2.0479 -1.3321
Tl 0.0000 0.0000 0.0000
```

Summary:
formation energy from the elements	1084	meV/atom
ρ	6.118	Mg/m³
space group	No. 123


(6)
Here is AcSn2Se after structural relaxation from Alexandria. Energies are from PBE.

```
4
Lattice="-1.0309 1.2451 4.4170 4.2471 -1.4562 1.4017 2.1985 5.4320 -1.0181" Properties=species:S:1:pos:R:3 pbc="T T T"
Sn 1.6368 4.0442 -0.7580
Ac 2.7073 2.6104 2.4003
Sn 0.5617 1.3878 -0.2601
Se 1.6081 -0.1056 2.9094
```

Summary:
ρ	6.857	Mg/m³
E	-17.59	eV/f.u.
space group	No. 123


(7)
Here is Na5SnS5 after structural relaxation from Alexandria. Energies are from PBE.

```
11
Lattice="-0.1074 5.4204 -1.0026 -6.3792 -2.5900 1.8401 3.8713 1.3077 6.6549" Properties=species:S:1:pos:R:3 pbc="T T T"
Na -3.5730 0.2602 1.7896
Na -1.2604 3.1718 2.1234
S -0.0537 2.7102 -0.5013
Na 0.9578 3.8778 5.7027
Na -1.3548 0.9663 5.3690
Na 1.9357 0.6538 3.3275
S 1.4561 1.1262 5.9327
S -0.7518 0.4362 2.4386
S -1.8634 3.7019 5.0538
S -4.0713 3.0118 1.5597
Sn 0.0000 0.0000 0.0000
```

Summary:
ρ	2.431	Mg/m³
E	-39.84	eV/f.u.
space group	No. 12


(8)
Here is Tb6Nd12Al after structural relaxation from Alexandria. Energies are from PBE.

```
19
Lattice="-3.3779 -1.0337 -7.8687 -7.4414 -2.8087 3.3365 -3.2149 8.0030 0.1019" Properties=species:S:1:pos:R:3 pbc="T T T"
Nd -11.4986 1.7805 -4.9099
Nd -10.6891 5.2109 -4.2526
Tb -3.9113 5.2154 -1.6046
Nd -3.3451 -1.0502 -0.1777
Nd -1.9249 0.9842 -2.7659
Nd -8.0420 1.1551 -4.3526
Nd -9.0407 1.6352 -0.7380
Nd -4.9934 2.5254 -3.6923
Al 0.0000 0.0000 0.0000
Tb -4.6472 -0.6683 -4.7989
Nd -7.5693 4.5183 -2.6916
Tb -7.5263 4.2410 -6.0777
Tb -6.5079 -0.0803 1.6474
Nd -6.4649 -0.3576 -1.7387
Tb -9.3869 4.8290 0.3686
Nd -2.5356 2.3801 0.4795
Tb -10.1229 -1.0547 -2.8257
Nd -5.9921 3.0056 -0.0777
Nd -12.1092 3.1765 -1.6644
```

Summary:
formation energy from the elements	81	meV/atom
ρ	7.023	Mg/m³
space group	No. 148